No. 1
Below is crystalline InB2Se at its relaxed geometry, with properties calculated at the GGA-PBE level.

Unit cell a=6.1430 b=6.1430 c=6.1430 alpha=130.02 beta=130.02 gamma=73.37
Closest atoms and distances in Å follow each position.
Sites, in units of the cell vectors:
In  0.0000  0.0000  0.0000  4 B 2.33
In  0.7500  0.2500  0.5000  4 B 2.33
B  0.1616  0.6250  0.0366  2 Se 2.10, 2 In 2.33
B  0.3750  0.4116  0.5366  2 Se 2.10, 2 In 2.33
B  0.5884  0.1250  0.9634  2 Se 2.10, 2 In 2.33
B  0.8750  0.8384  0.4634  2 Se 2.10, 2 In 2.33
Se  0.2500  0.7500  0.5000  4 B 2.10
Se  0.5000  0.5000  0.0000  4 B 2.10

Volume ... 132.7 Å³/cell
Electronic total energy ... -4.17 eV/atom


No. 2
Below is crystalline In3BSe at its relaxed geometry, with properties calculated at the GGA-PBE level.

Unit cell a=4.8483 b=4.8483 c=4.8483 alpha=90.00 beta=90.00 gamma=90.00
Closest atoms and distances in Å follow each position.
Sites, in units of the cell vectors:
In  0.0000  0.0000  0.5000  2 B 2.42
In  0.0000  0.5000  0.0000  2 B 2.42
In  0.5000  0.0000  0.0000  2 B 2.42
B  0.0000  0.0000  0.0000  6 In 2.42
Se  0.5000  0.5000  0.5000  12 In 3.43

Volume ... 114.0 Å³/cell
Electronic total energy ... -3.42 eV/atom